(1)
Entry from the Alexandria database: a PBEsol-optimized structure of ZrNi2Au (meta-GGA SCAN).

Unit cell a=3.739 b=3.739 c=4.879 alpha=112.53 beta=112.53 gamma=90.00
Element x y z (fractional)
Zr (0.500, 0.500, 0.000)
Au (0.750, 0.250, 0.500)
Ni (0.000, 0.000, 0.000)
Ni (0.250, 0.750, 0.500)

- DOS at the Fermi energy: 0.285 states/eV/atom
- Final energy: -33.55 eV per atom
- Calculated density: 11.752 g/cm³
- ΔE_f: -2.00 eV/f.u.
- Magnetization: 0.00 μB per atom
- Symmetry: No. 119


(2)
Entry from the Alexandria database: a PBEsol-optimized structure of BaNa2Sr (meta-GGA SCAN).

Unit cell a=6.401 b=6.401 c=6.401 alpha=60.00 beta=60.00 gamma=60.00
Element x y z (fractional)
Na (0.750, 0.750, 0.750)
Na (0.250, 0.250, 0.250)
Ba (0.500, 0.500, 0.500)
Sr (0.000, 0.000, 0.000)

- DOS at the Fermi energy: 0.906 states/eV/atom
- Final energy: -17.55 eV per atom
- Calculated density: 2.426 g/cm³
- ΔE_f: 0.04 eV/f.u.
- Magnetization: 0.02 μB per atom
- Symmetry: No. 225


(3)
Entry from the Alexandria database: a PBEsol-optimized structure of PBr2N (meta-GGA SCAN).

Unit cell a=6.315 b=11.495 c=11.495 alpha=90.00 beta=90.00 gamma=90.00
Element x y z (fractional)
P (0.555, 0.456, 0.666)
N (0.581, 0.411, 0.370)
Br (0.408, 0.554, 0.161)
Br (0.622, 0.894, 0.195)
Br (0.622, 0.106, 0.805)
P (0.445, 0.666, 0.544)
Br (0.878, 0.606, 0.305)
Br (0.408, 0.446, 0.839)
N (0.081, 0.870, 0.089)
P (0.055, 0.166, 0.044)
P (0.555, 0.544, 0.334)
P (0.445, 0.334, 0.456)
N (0.419, 0.370, 0.589)
Br (0.378, 0.195, 0.106)
N (0.581, 0.589, 0.630)
Br (0.122, 0.305, 0.394)
Br (0.092, 0.946, 0.339)
N (0.419, 0.630, 0.411)
P (0.945, 0.044, 0.834)
Br (0.592, 0.839, 0.554)
Br (0.908, 0.661, 0.946)
Br (0.122, 0.695, 0.606)
Br (0.908, 0.339, 0.054)
Br (0.592, 0.161, 0.446)
Br (0.092, 0.054, 0.661)
Br (0.378, 0.805, 0.894)
N (0.919, 0.089, 0.130)
P (0.055, 0.834, 0.956)
N (0.081, 0.130, 0.911)
N (0.919, 0.911, 0.870)
Br (0.878, 0.394, 0.695)
P (0.945, 0.956, 0.166)

- Energy relative to the elements, uncorrected: -0.42 eV per atom
- DOS at the Fermi energy: 0.000 states/eV/atom
- Final energy: -15.08 eV per atom
- Calculated density: 3.260 g/cm³
- Magnetization: 0.00 μB per atom
- Symmetry: No. 86


(4)
Entry from the Alexandria database: a PBEsol-optimized structure of ScMnW2 (meta-GGA SCAN).

Unit cell a=2.854 b=2.854 c=8.947 alpha=80.82 beta=80.82 gamma=60.00
Site moments in Bohr magnetons follow the coordinates.
Element x y z (fractional)
Mn (0.500, 0.500, 0.500)  2.23
Sc (0.000, 0.000, 0.000)  0.13
W (0.759, 0.759, 0.722)  -0.18
W (0.241, 0.241, 0.278)  -0.18

- DOS at the Fermi energy: 0.906 states/eV/atom
- Final energy: -42.51 eV per atom
- Calculated density: 12.514 g/cm³
- ΔE_f: 1.82 eV/f.u.
- Magnetization: 0.53 μB per atom
- Symmetry: No. 166


Copy entry 3 word for word.
Entry from the Alexandria database: a PBEsol-optimized structure of PBr2N (meta-GGA SCAN).

Unit cell a=6.315 b=11.495 c=11.495 alpha=90.00 beta=90.00 gamma=90.00
Element x y z (fractional)
P (0.555, 0.456, 0.666)
N (0.581, 0.411, 0.370)
Br (0.408, 0.554, 0.161)
Br (0.622, 0.894, 0.195)
Br (0.622, 0.106, 0.805)
P (0.445, 0.666, 0.544)
Br (0.878, 0.606, 0.305)
Br (0.408, 0.446, 0.839)
N (0.081, 0.870, 0.089)
P (0.055, 0.166, 0.044)
P (0.555, 0.544, 0.334)
P (0.445, 0.334, 0.456)
N (0.419, 0.370, 0.589)
Br (0.378, 0.195, 0.106)
N (0.581, 0.589, 0.630)
Br (0.122, 0.305, 0.394)
Br (0.092, 0.946, 0.339)
N (0.419, 0.630, 0.411)
P (0.945, 0.044, 0.834)
Br (0.592, 0.839, 0.554)
Br (0.908, 0.661, 0.946)
Br (0.122, 0.695, 0.606)
Br (0.908, 0.339, 0.054)
Br (0.592, 0.161, 0.446)
Br (0.092, 0.054, 0.661)
Br (0.378, 0.805, 0.894)
N (0.919, 0.089, 0.130)
P (0.055, 0.834, 0.956)
N (0.081, 0.130, 0.911)
N (0.919, 0.911, 0.870)
Br (0.878, 0.394, 0.695)
P (0.945, 0.956, 0.166)

- Energy relative to the elements, uncorrected: -0.42 eV per atom
- DOS at the Fermi energy: 0.000 states/eV/atom
- Final energy: -15.08 eV per atom
- Calculated density: 3.260 g/cm³
- Magnetization: 0.00 μB per atom
- Symmetry: No. 86


- The highest calculated density belongs to which entry?
  ScMnW2


- The lowest DOS at the Fermi energy belongs to which entry?
  PBr2N